This record from Alexandria describes crystalline Li2MnCoO4 at its relaxed geometry. The functional is PBE+U.

Properties
Total magnetization in μB/f.u.: 4.2
Theoretical density in g cm⁻³: 4.48
Volume in Å³ per cell: 71
Crystal system: monoclinic
E above lowest polymorph in eV per formula unit: 1.30

Cell and atoms, written as POSCAR:
```
Li2MnCoO4
1.0
-0.134 -1.491 -2.534
1.861 -2.199 -0.602
-5.682 -7.225 3.220
O Co Mn Li
4 1 1 2
direct
0.609 0.609 0.114
0.866 0.866 0.389
0.134 0.134 0.611
0.391 0.391 0.886
0.000 0.000 0.000
0.500 0.500 0.500
0.748 0.748 0.757
0.252 0.252 0.243
```